# 1
Zr2HgP | GGA-PBE | relaxed

Output
V (A^3/atom): 21.8
Formation energy from the elements (eV/atom): -0.577

abc: 3.4291 3.4640 14.6587
angles: 90.00 90.00 90.00
Space group Imm2 (No. 44)
Asymmetric unit:
1 Zr 0.0000 0.0000 0.0000 (multiplicity 2)
2 Zr 0.0000 0.5000 0.2996 (multiplicity 2)
3 Hg 0.0000 0.0000 0.6273 (multiplicity 2)
4 P 0.0000 0.5000 0.8686 (multiplicity 2)

# 2
ZrHg2P | GGA-PBE | relaxed

Output
V (A^3/atom): 25.1
Formation energy from the elements (eV/atom): -0.216

abc: 3.7624 3.7624 24.5732
angles: 90.00 90.00 120.00
Space group R3m (No. 160, hexagonal axes)
Asymmetric unit:
1 Zr 0.0000 0.0000 0.0000 (multiplicity 3)
2 Hg 0.0000 0.0000 0.5203 (multiplicity 3)
3 Hg 0.0000 0.0000 0.7585 (multiplicity 3)
4 P 0.0000 0.0000 0.2819 (multiplicity 3)

# 3
ZrHg2P | GGA-PBE | relaxed

Output
V (A^3/atom): 22.2
Formation energy from the elements (eV/atom): -0.099

abc: 5.5292 5.5343 5.8139
angles: 90.00 90.00 90.00
Space group Cmmm (No. 65)
Asymmetric unit:
1 Zr 0.0000 0.0000 0.0000 (multiplicity 2)
2 Hg 0.2497 0.0000 0.5000 (multiplicity 4)
3 P 0.0000 0.5000 0.0000 (multiplicity 2)

# 4
ZrHg2P | GGA-PBE | relaxed

Output
V (A^3/atom): 21.1
Formation energy from the elements (eV/atom): 0.265

abc: 3.9780 4.8154 8.7948
angles: 90.00 90.00 90.00
Space group Cmmm (No. 65)
Asymmetric unit:
1 Zr 0.0000 0.0000 0.0000 (multiplicity 2)
2 Hg 0.0000 0.5000 0.2574 (multiplicity 4)
3 P 0.0000 0.0000 0.5000 (multiplicity 2)

# 5
ZrHg2P | GGA-PBE | relaxed

Output
V (A^3/atom): 24.7
Formation energy from the elements (eV/atom): -0.342

abc: 3.6334 3.6369 7.6496
angles: 90.00 102.39 90.00
Space group Pm (No. 6)
Asymmetric unit:
1 Zr 0.0000 0.0000 0.0000 (multiplicity 1)
2 Hg 0.1716 0.5000 0.3452 (multiplicity 1)
3 Hg 0.7779 0.0000 0.6021 (multiplicity 1)
4 P 0.4862 0.5000 0.9686 (multiplicity 1)

# 6
ZrHg2P | GGA-PBE | relaxed

Output
V (A^3/atom): 20.4
Formation energy from the elements (eV/atom): 0.160

abc: 3.5832 3.5832 6.3706
angles: 90.00 90.00 90.00
Space group P4/mmm (No. 123)
Asymmetric unit:
1 Zr 0.0000 0.0000 0.0000 (multiplicity 1)
2 Hg 0.5000 0.5000 0.2710 (multiplicity 2)
3 P 0.0000 0.0000 0.5000 (multiplicity 1)

# 7
ZrHg2P | GGA-PBE | relaxed

Output
V (A^3/atom): 23.4
Formation energy from the elements (eV/atom): -0.308

abc: 3.5707 3.7617 13.9077
angles: 90.00 90.00 90.00
Space group Immm (No. 71)
Asymmetric unit:
1 Zr 0.0000 0.0000 0.0000 (multiplicity 2)
2 Hg 0.0000 0.5000 0.3116 (multiplicity 4)
3 P 0.0000 0.0000 0.5000 (multiplicity 2)

# 8
ZrHgP | GGA-PBE | relaxed

Output
V (A^3/atom): 21.2
Formation energy from the elements (eV/atom): -0.403

abc: 3.4418 3.4418 10.7204
angles: 90.00 90.00 90.00
Space group I4mm (No. 107)
Asymmetric unit:
1 Zr 0.0000 0.0000 0.0000 (multiplicity 2)
2 Hg 0.0000 0.0000 0.2929 (multiplicity 2)
3 P 0.0000 0.0000 0.5881 (multiplicity 2)

# 9
ZrHg2P | GGA-PBE | relaxed

Output
V (A^3/atom): 20.5
Formation energy from the elements (eV/atom): 0.090

abc: 6.8975 6.8975 6.8975
angles: 90.00 90.00 90.00
Space group F-43m (No. 216)
Asymmetric unit:
1 Zr 0.0000 0.0000 0.0000 (multiplicity 4)
2 Hg 0.0000 0.0000 0.5000 (multiplicity 4)
3 Hg 0.2500 0.2500 0.2500 (multiplicity 4)
4 P 0.2500 0.2500 0.7500 (multiplicity 4)

# 10
ZrHg3P | GGA-PBE | relaxed

Output
V (A^3/atom): 33.7
Formation energy from the elements (eV/atom): 1.059

abc: 5.5245 5.5245 5.5245
angles: 90.00 90.00 90.00
Space group Pm-3m (No. 221)
Asymmetric unit:
1 Zr 0.0000 0.0000 0.0000 (multiplicity 1)
2 Hg 0.0000 0.0000 0.5000 (multiplicity 3)
3 P 0.5000 0.5000 0.5000 (multiplicity 1)

# 11
ZrHg2P | GGA-PBE | relaxed

Output
V (A^3/atom): 22.0
Formation energy from the elements (eV/atom): -0.202

abc: 8.8451 3.7667 5.7800
angles: 90.00 113.99 90.00
Space group Cm (No. 8)
Asymmetric unit:
1 Zr 0.0000 0.0000 0.0000 (multiplicity 2)
2 Hg 0.2006 0.0000 0.6055 (multiplicity 2)
3 Hg 0.4167 0.0000 0.3554 (multiplicity 2)
4 P 0.1890 0.5000 0.9589 (multiplicity 2)

# 12
Zr2Hg2P | GGA-PBE | relaxed

Output
V (A^3/atom): 22.5
Formation energy from the elements (eV/atom): -0.431

abc: 6.8410 6.8410 4.8055
angles: 90.00 90.00 90.00
Space group P4/mbm (No. 127)
Asymmetric unit:
1 Zr 0.1656 0.3344 0.0000 (multiplicity 4)
2 Hg 0.1510 0.6510 0.5000 (multiplicity 4)
3 P 0.0000 0.0000 0.0000 (multiplicity 2)

# 13
Zr2HgP | GGA-PBE | relaxed

Output
V (A^3/atom): 21.4
Formation energy from the elements (eV/atom): -0.760

abc: 3.6328 3.6328 22.4666
angles: 90.00 90.00 120.00
Space group R3m (No. 160, hexagonal axes)
Asymmetric unit:
1 Zr 0.0000 0.0000 0.0000 (multiplicity 3)
2 Zr 0.0000 0.0000 0.2037 (multiplicity 3)
3 Hg 0.0000 0.0000 0.7690 (multiplicity 3)
4 P 0.0000 0.0000 0.6012 (multiplicity 3)

# 14
Zr3HgP | GGA-PBE | relaxed

Output
V (A^3/atom): 21.1
Formation energy from the elements (eV/atom): -0.640

abc: 6.6105 3.9526 8.2404
angles: 90.00 101.28 90.00
Space group P2_1/m (No. 11)
Asymmetric unit:
1 Zr 0.0323 0.2500 0.1692 (multiplicity 2)
2 Zr 0.1627 0.2500 0.5832 (multiplicity 2)
3 Zr 0.4563 0.7500 0.8295 (multiplicity 2)
4 Hg 0.3473 0.7500 0.3801 (multiplicity 2)
5 P 0.2331 0.2500 0.9152 (multiplicity 2)

# 15
Zr2HgP | GGA-PBE | relaxed

Output
V (A^3/atom): 19.8
Formation energy from the elements (eV/atom): -0.572

abc: 3.9901 4.9558 8.0287
angles: 90.00 90.00 90.00
Space group Cmmm (No. 65)
Asymmetric unit:
1 Zr 0.0000 0.0000 0.2107 (multiplicity 4)
2 Hg 0.0000 0.5000 0.5000 (multiplicity 2)
3 P 0.0000 0.5000 0.0000 (multiplicity 2)